Entry from the Alexandria database: IrOs at its PBEsol-relaxed geometry (meta-GGA SCAN). Values from VASP.

Cell and atoms, written as Quantum ESPRESSO input:
```
&SYSTEM
  ibrav = 0, nat = 2, ntyp = 2
/
ATOMIC_SPECIES
Ir 192.22 Ir.upf
Os 190.23 Os.upf
CELL_PARAMETERS angstrom
1.350 0.780 4.428
-1.350 0.780 4.428
0.000 -1.559 4.428
ATOMIC_POSITIONS crystal
Ir 0.000 0.000 0.000
Os 0.500 0.500 0.500
```

ΔH_f (0 K) (eV/atom): 0.0456
Uncorrected energy (eV per atom): -71.4439
M_tot (μB per cell): 0.000
Density (g cm⁻³): 22.70